Entry 1:
The following is a DFT calculation (GGA-PBE) of an optimized crystal structure of Mg2AlCl2.

Output
- Theoretical density: 1.82 Mg/m³
- E_form (uncorrected): -0.35 eV/atom
- Final energy: -24.7 eV/cell

CIF file:
```
data_Mg2AlCl2
_symmetry_space_group_name_H-M 'P 4/m b m'
_symmetry_Int_Tables_number 127
_symmetry_space_group_name_Hall '-P 4 2ab'
_cell_length_a 8.9672
_cell_length_b 8.9672
_cell_length_c 3.3208
_cell_angle_alpha 90.00
_cell_angle_beta 90.00
_cell_angle_gamma 90.00
loop_
_atom_site_label
_atom_site_fract_x
_atom_site_fract_y
_atom_site_fract_z
Mg1 0.2429 0.2571 0.0000
Al1 0.0000 0.0000 0.5000
Cl1 0.1207 0.6207 0.5000
```

***

Entry 2:
The following is a DFT calculation (GGA-PBE) of an optimized crystal structure of ZrTlRu2.

Output
- Theoretical density: 11.05 Mg/m³
- Final energy: -85.9 eV/cell

CIF file:
```
data_ZrTlRu2
_symmetry_space_group_name_H-M 'R -3 m'
_symmetry_Int_Tables_number 166
_symmetry_space_group_name_Hall '-R 3 2"'
_cell_length_a 3.1982
_cell_length_b 3.1982
_cell_length_c 25.3296
_cell_angle_alpha 90.00
_cell_angle_beta 90.00
_cell_angle_gamma 120.00
loop_
_atom_site_label
_atom_site_fract_x
_atom_site_fract_y
_atom_site_fract_z
Zr1 0.0000 0.0000 0.0000
Tl1 0.0000 0.0000 0.5000
Ru1 0.0000 0.0000 0.2546
```